## K2MnW (GGA-PBE)

Data for an optimized crystal structure of K2MnW. Values from VASP.

Summary:
- Density: 5.79 g/cm³
- DFT total energy: -4.5837 eV/atom
- Symmetry: P2/m
- DFT formation energy: 1.50 eV per atom
- Distance to the lowest polymorph of the same formula: 609.6 meV/atom
- Density of states at the Fermi level: 3.56 states/eV per cell

```
&SYSTEM
  ibrav = 0, nat = 4, ntyp = 3
/
ATOMIC_SPECIES
K 39.10 K.upf
Mn 54.94 Mn.upf
W 183.84 W.upf
ATOMIC_POSITIONS crystal
K 0.000 0.021 0.003
K 0.000 0.479 0.497
Mn 0.500 0.250 0.250
W 0.500 0.750 0.750
CELL_PARAMETERS angstrom
6.167 0.000 0.000
0.000 2.825 -0.096
0.000 0.442 5.200
```